Entry 1
DFT (GGA-PBE) results for K2TlPd after structural relaxation.

a b c (Å): 3.5226 3.5226 35.7914
angles (deg): 90.00 90.00 120.00
Space group R-3m (No. 166, hexagonal axes)
Symmetry-distinct sites (fractional):
K (0.0000, 0.0000, 0.0797) [6 per cell]
Tl (0.0000, 0.0000, 0.5000) [3 per cell]
Pd (0.0000, 0.0000, 0.0000) [3 per cell]

Output
Density of states at the Fermi level = 6.217 states/eV per cell



Entry 2
DFT (GGA-PBE) results for K2TlPd after structural relaxation.

a b c (Å): 11.642 11.642 5.319
angles (deg): 90.00 90.00 90.00
Space group I-42d (No. 122)
Symmetry-distinct sites (fractional):
K (0.098, 0.250, 0.125) [8 per cell]
Tl (0.000, 0.000, 0.500) [4 per cell]
Pd (0.000, 0.000, 0.000) [4 per cell]

Output
Density of states at the Fermi level = 12.076 states/eV per cell



Entry 3
DFT (GGA-PBE) results for K2TlPd after structural relaxation.

a b c (Å): 8.281 4.755 8.798
angles (deg): 90.00 107.35 90.00
Space group Cm (No. 8)
Symmetry-distinct sites (fractional):
K (0.000, 0.000, 0.000) [2 per cell]
K (0.173, 0.000, 0.544) [2 per cell]
Tl (0.254, 0.500, 0.272) [2 per cell]
Pd (0.421, 0.000, 0.271) [2 per cell]

Output
Density of states at the Fermi level = 3.996 states/eV per cell



Entry 4
DFT (GGA-PBE) results for K2TlPd after structural relaxation.

a b c (Å): 8.069 8.069 8.069
angles (deg): 90.00 90.00 90.00
Space group Fm-3m (No. 225)
Symmetry-distinct sites (fractional):
K (0.250, 0.250, 0.250) [8 per cell]
Tl (0.000, 0.000, 0.000) [4 per cell]
Pd (0.000, 0.000, 0.500) [4 per cell]

Output
Density of states at the Fermi level = 9.107 states/eV per cell



Ranked by calculated energy, most stable first: entry 3, entry 2, entry 4, entry 1.